# 1
# CoHgNO2

An optimized crystal structure of CoHgNO2 (PBE+U, Alexandria via LeMat-Bulk).

Cell lengths 4.2395, 4.2395, 4.0770 Å; angles 90.00, 90.00, 90.00 degrees
Space group P4/mmm (No. 123)
One atom of each set of equivalent atoms:
Co: 0.0000 0.0000 0.0000
Hg: 0.5000 0.5000 0.5000
N: 0.5000 0.5000 0.0000
O: 0.0000 0.5000 0.5000

Output
E_tot: -16.77 eV for the cell shown
magnetization: 4.128 μB per formula unit



# 2
# CoHgNO2

An optimized crystal structure of CoHgNO2 (PBE+U, Alexandria via LeMat-Bulk).

Cell lengths 4.0582, 4.0582, 3.4157 Å; angles 90.00, 90.00, 90.00 degrees
Space group P4/mmm (No. 123)
One atom of each set of equivalent atoms:
Co: 0.0000 0.0000 0.0000
Hg: 0.5000 0.5000 0.5000
N: 0.0000 0.0000 0.5000
O: 0.0000 0.5000 0.0000

Output
E_tot: -21.30 eV for the cell shown
magnetization: 0.442 μB per formula unit